Density functional theory data (GGA-PBE) for crystalline Nd6Zn2Ag at its relaxed geometry.

CIF file:
```
data_Nd6Zn2Ag
_chemical_formula_sum 'Nd12 Zn4 Ag2'
_cell_length_a 6.435
_cell_length_b 9.446
_cell_length_c 9.764
_cell_angle_alpha 90.00
_cell_angle_beta 116.25
_cell_angle_gamma 90.00
_space_group_name_H-M_alt 'P 1 21/c 1'
_space_group_IT_number 14
_space_group_name_Hall '-P 2ybc'
loop_
_atom_site_label
_atom_site_fract_x
_atom_site_fract_y
_atom_site_fract_z
Nd1 0.077 0.171 0.475
Nd2 0.358 0.687 0.445
Nd3 0.419 0.031 0.296
Zn1 0.141 0.095 0.784
Ag1 0.000 0.000 0.000
```

- Calculated density: 6.89 g cm⁻³
- E_form: -0.0819 eV/atom
- Density of states at the Fermi level: 1.096 states/eV/atom
- DFT total energy: -3.860 eV/atom
- Calculated volume: 29.570 Å³/atom

---

Density functional theory data (GGA-PBE) for crystalline K2PtI8 at its relaxed geometry.

CIF file:
```
data_K2PtI8
_chemical_formula_sum 'K4 Pt2 I16'
_cell_length_a 14.295
_cell_length_b 12.209
_cell_length_c 6.862
_cell_angle_alpha 90.00
_cell_angle_beta 116.44
_cell_angle_gamma 90.00
_space_group_name_H-M_alt 'C 1 2/m 1'
_space_group_IT_number 12
_space_group_name_Hall '-C 2y'
loop_
_atom_site_label
_atom_site_fract_x
_atom_site_fract_y
_atom_site_fract_z
K1 0.249 0.000 0.202
Pt1 0.000 0.500 0.000
I1 0.003 0.000 0.253
I2 0.022 0.331 0.769
I3 0.210 0.500 0.259
```

- Calculated density: 3.99 g cm⁻³
- Density of states at the Fermi level: 0.444 states/eV/atom
- Raw formation energy: -5.6 eV per formula unit
- DFT total energy: -2.388 eV/atom
- Calculated volume: 48.744 Å³/atom

---

Density functional theory data (GGA-PBE) for crystalline KLi3Co at its relaxed geometry.

CIF file:
```
data_KLi3Co
_chemical_formula_sum 'K1 Li3 Co1'
_cell_length_a 4.846
_cell_length_b 4.846
_cell_length_c 4.846
_cell_angle_alpha 90.00
_cell_angle_beta 90.00
_cell_angle_gamma 90.00
_space_group_name_H-M_alt 'P m -3 m'
_space_group_IT_number 221
_space_group_name_Hall '-P 4 2 3'
loop_
_atom_site_label
_atom_site_fract_x
_atom_site_fract_y
_atom_site_fract_z
K1 0.000 0.000 0.000
Li1 0.000 0.000 0.500
Co1 0.500 0.500 0.500
```

- Energy above the lowest structure with this stoichiometry: 0.715 eV per atom
- Calculated density: 1.73 g cm⁻³
- E_form: 1.2237 eV/atom
- Density of states at the Fermi level: 0.583 states/eV/atom
- DFT total energy: -1.565 eV/atom
- Calculated volume: 22.757 Å³/atom

---

Density functional theory data (GGA-PBE) for crystalline TaPbAu at its relaxed geometry.

CIF file:
```
data_TaPbAu
_chemical_formula_sum 'Ta4 Pb4 Au4'
_cell_length_a 6.583
_cell_length_b 6.583
_cell_length_c 6.583
_cell_angle_alpha 90.00
_cell_angle_beta 90.00
_cell_angle_gamma 90.00
_space_group_name_H-M_alt 'F -4 3 m'
_space_group_IT_number 216
_space_group_name_Hall 'F -4 2 3'
loop_
_atom_site_label
_atom_site_fract_x
_atom_site_fract_y
_atom_site_fract_z
Ta1 0.000 0.000 0.000
Pb1 0.000 0.000 0.500
Au1 0.250 0.250 0.750
```

- Calculated density: 13.63 g cm⁻³
- E_form: 0.7853 eV/atom
- Density of states at the Fermi level: 1.538 states/eV/atom
- DFT total energy: -5.494 eV/atom
- Calculated volume: 23.768 Å³/atom

---

Density functional theory data (GGA-PBE) for crystalline ZrAs4Rh at its relaxed geometry.

CIF file:
```
data_ZrAs4Rh
_chemical_formula_sum 'Zr4 As16 Rh4'
_cell_length_a 7.641
_cell_length_b 7.641
_cell_length_c 7.641
_cell_angle_alpha 90.00
_cell_angle_beta 90.00
_cell_angle_gamma 90.00
_space_group_name_H-M_alt 'F -4 3 m'
_space_group_IT_number 216
_space_group_name_Hall 'F -4 2 3'
loop_
_atom_site_label
_atom_site_fract_x
_atom_site_fract_y
_atom_site_fract_z
Zr1 0.000 0.000 0.000
As1 0.124 0.124 0.624
Rh1 0.250 0.250 0.250
```

- Calculated density: 7.35 g cm⁻³
- E_form: 0.2351 eV/atom
- Density of states at the Fermi level: 0.710 states/eV/atom
- DFT total energy: -5.515 eV/atom
- Calculated volume: 18.586 Å³/atom

---

Density functional theory data (GGA-PBE) for crystalline InW at its relaxed geometry.

CIF file:
```
data_InW
_chemical_formula_sum 'In6 W6'
_cell_length_a 7.709
_cell_length_b 7.709
_cell_length_c 7.709
_cell_angle_alpha 90.00
_cell_angle_beta 90.00
_cell_angle_gamma 90.00
_space_group_name_H-M_alt 'P m -3 n'
_space_group_IT_number 223
_space_group_name_Hall '-P 4n 2 3'
loop_
_atom_site_label
_atom_site_fract_x
_atom_site_fract_y
_atom_site_fract_z
In1 0.000 0.250 0.500
W1 0.000 0.500 0.250
```

- Energy above the lowest structure with this stoichiometry: 2.342 eV per atom
- Calculated density: 6.49 g cm⁻³
- E_form: 2.7445 eV/atom
- Density of states at the Fermi level: 2.522 states/eV/atom
- DFT total energy: -5.101 eV/atom
- Calculated volume: 38.185 Å³/atom